1:
# NdPu2Co (GGA-PBE, optimized geometry)
data_NdPu2Co
_chemical_formula_sum 'Nd3 Pu6 Co3'
_cell_length_a 3.6792
_cell_length_b 3.6792
_cell_length_c 26.9580
_cell_angle_alpha 90.00
_cell_angle_beta 90.00
_cell_angle_gamma 120.00
_space_group_name_H-M_alt 'R -3 m'
_space_group_IT_number 166
_space_group_name_Hall '-R 3 2"'
loop_
_atom_site_label
_atom_site_fract_x
_atom_site_fract_y
_atom_site_fract_z
Nd1 0.0000 0.0000 0.0000
Pu1 0.0000 0.0000 0.2249
Co1 0.0000 0.0000 0.5000
# Theoretical density, g cm⁻³: 10.90

2:
# NdPu2Co (GGA-PBE, optimized geometry)
data_NdPu2Co
_chemical_formula_sum 'Nd1 Pu2 Co1'
_cell_length_a 3.4218
_cell_length_b 3.4218
_cell_length_c 8.3109
_cell_angle_alpha 90.00
_cell_angle_beta 90.00
_cell_angle_gamma 90.00
_space_group_name_H-M_alt 'P 4/m m m'
_space_group_IT_number 123
_space_group_name_Hall '-P 4 2'
loop_
_atom_site_label
_atom_site_fract_x
_atom_site_fract_y
_atom_site_fract_z
Nd1 0.0000 0.0000 0.0000
Pu1 0.5000 0.5000 0.3162
Co1 0.0000 0.0000 0.5000
# Theoretical density, g cm⁻³: 11.79

The winner here is 2, beating the second structure by 36 meV/atom.

1:
# Nd4CoRh (GGA-PBE, optimized geometry)
data_Nd4CoRh
_chemical_formula_sum 'Nd16 Co4 Rh4'
_cell_length_a 9.3471
_cell_length_b 9.3471
_cell_length_c 8.3896
_cell_angle_alpha 90.00
_cell_angle_beta 90.00
_cell_angle_gamma 90.00
_space_group_name_H-M_alt 'I 41 m d'
_space_group_IT_number 109
_space_group_name_Hall 'I 4bw -2'
loop_
_atom_site_label
_atom_site_fract_x
_atom_site_fract_y
_atom_site_fract_z
Nd1 0.0000 0.3003 0.0000
Nd2 0.0000 0.3035 0.4855
Co1 0.0000 0.0000 0.9925
Rh1 0.0000 0.0000 0.4934
# Theoretical density, g cm⁻³: 6.69

2:
# Nd4CoRh (GGA-PBE, optimized geometry)
data_Nd4CoRh
_chemical_formula_sum 'Nd16 Co4 Rh4'
_cell_length_a 9.2108
_cell_length_b 14.3832
_cell_length_c 6.7371
_cell_angle_alpha 90.00
_cell_angle_beta 131.92
_cell_angle_gamma 90.00
_space_group_name_H-M_alt 'C 1 2/c 1'
_space_group_IT_number 15
loop_
_space_group_symop_operation_xyz
'x,y,z'
'-x,-y,-z'
'-x,y,-z+1/2'
'x,-y,z+1/2'
'x+1/2,y+1/2,z'
'-x+1/2,-y+1/2,-z'
'-x+1/2,y+1/2,-z+1/2'
'x+1/2,-y+1/2,z+1/2'
loop_
_atom_site_label
_atom_site_fract_x
_atom_site_fract_y
_atom_site_fract_z
Nd1 0.1769 0.2027 0.1901
Nd2 0.2286 0.4539 0.1453
Co1 0.0000 0.3268 0.7500
Rh1 0.0000 0.3738 0.2500
# Theoretical density, g cm⁻³: 7.39

The winner here is 2, beating the second structure by 10 meV/atom.

1:
# NdCoSb3 (GGA-PBE, optimized geometry)
data_NdCoSb3
_chemical_formula_sum 'Nd4 Co4 Sb12'
_cell_length_a 12.8628
_cell_length_b 6.1538
_cell_length_c 6.0088
_cell_angle_alpha 90.00
_cell_angle_beta 90.00
_cell_angle_gamma 90.00
_space_group_name_H-M_alt 'P b c m'
_space_group_IT_number 57
loop_
_space_group_symop_operation_xyz
'x,y,z'
'-x,-y,-z'
'-x,-y,z+1/2'
'x,y,-z+1/2'
'x,-y+1/2,-z'
'-x,y+1/2,z'
'-x,y+1/2,-z+1/2'
'x,-y+1/2,z+1/2'
loop_
_atom_site_label
_atom_site_fract_x
_atom_site_fract_y
_atom_site_fract_z
Nd1 0.1967 0.0014 0.2500
Co1 0.4068 0.7500 0.0000
Sb1 0.0017 0.7500 0.0000
Sb2 0.2872 0.0001 0.7500
Sb3 0.4462 0.0923 0.2500
# Theoretical density, g cm⁻³: 7.94

2:
# NdCoSb3 (GGA-PBE, optimized geometry)
data_NdCoSb3
_chemical_formula_sum 'Nd8 Co8 Sb24'
_cell_length_a 12.7907
_cell_length_b 6.1690
_cell_length_c 12.1517
_cell_angle_alpha 90.00
_cell_angle_beta 90.00
_cell_angle_gamma 90.00
_space_group_name_H-M_alt 'P b c m'
_space_group_IT_number 57
loop_
_space_group_symop_operation_xyz
'x,y,z'
'-x,-y,-z'
'-x,-y,z+1/2'
'x,y,-z+1/2'
'x,-y+1/2,-z'
'-x,y+1/2,z'
'-x,y+1/2,-z+1/2'
'x,-y+1/2,z+1/2'
loop_
_atom_site_label
_atom_site_fract_x
_atom_site_fract_y
_atom_site_fract_z
Nd1 0.1967 0.2218 0.2500
Nd2 0.2002 0.7500 0.0000
Co1 0.4024 0.0387 0.6357
Sb1 0.0025 0.0160 0.6240
Sb2 0.2814 0.2500 0.0000
Sb3 0.2867 0.7309 0.2500
Sb4 0.4446 0.1138 0.2500
Sb5 0.4722 0.7500 0.0000
# Theoretical density, g cm⁻³: 7.88

The winner here is 2, beating the second structure by 43 meV/atom.